Record 1
VASP calculation (PBE) on CaCo2S2 after structural relaxation.

a b c (Å): 4.2531 4.2531 8.3475
angles (deg): 90.00 90.00 90.00
With the nearest neighbours (Å) after each atom.
Positions (direct):
Ca (0.0000, 0.0000, 0.0000)  2 Co 2.89, 8 S 2.98
Ca (0.5000, 0.5000, 0.5000)  2 Co 2.89, 8 S 2.98
Co (0.0000, 0.0000, 0.3459)  4 S 2.27
Co (0.0000, 0.0000, 0.6541)  4 S 2.27
Co (0.5000, 0.5000, 0.1541)  4 S 2.27
Co (0.5000, 0.5000, 0.8459)  4 S 2.27
S (0.0000, 0.5000, 0.2500)  4 Co 2.27
S (0.0000, 0.5000, 0.7500)  4 Co 2.27
S (0.5000, 0.0000, 0.2500)  4 Co 2.27
S (0.5000, 0.0000, 0.7500)  4 Co 2.27

Calculated values
SG   No. 139
Total moment   0.001 μB per formula unit
Relative energy among the computed polymorphs   0.00 eV/f.u.
Total DFT energy (no corrections)   -5.48 eV per atom

Record 2
VASP calculation (PBE) on Tb4Sm2DyHo after structural relaxation.

a b c (Å): 9.5139 9.5139 9.5139
angles (deg): 138.02 103.32 91.51
With the nearest neighbours (Å) after each atom.
Positions (direct):
Tb (0.2497, 0.2480, 0.0017)  1 Ho 3.29, 3 Sm 3.35-3.43, 2 Dy 3.39, 2 Tb 3.41
Tb (0.2521, 0.2508, 0.4987)  1 Dy 3.29, 3 Sm 3.35-3.41, 2 Tb 3.39-3.43, 2 Ho 3.40
Tb (0.2521, 0.7534, 0.0013)  1 Dy 3.29, 3 Sm 3.35-3.41, 2 Tb 3.39-3.43, 2 Ho 3.40
Tb (0.2537, 0.7520, 0.5017)  1 Ho 3.29, 3 Sm 3.35-3.43, 2 Dy 3.39, 2 Tb 3.41
Tb (0.7463, 0.2480, 0.4983)  1 Ho 3.29, 3 Sm 3.35-3.43, 2 Dy 3.39, 2 Tb 3.41
Tb (0.7479, 0.2466, 0.9987)  1 Dy 3.29, 3 Sm 3.35-3.41, 2 Tb 3.39-3.43, 2 Ho 3.40
Tb (0.7479, 0.7492, 0.5013)  1 Dy 3.29, 3 Sm 3.35-3.41, 2 Tb 3.39-3.43, 2 Ho 3.40
Tb (0.7503, 0.7520, 0.9983)  1 Ho 3.29, 3 Sm 3.35-3.43, 2 Dy 3.39, 2 Tb 3.41
Sm (0.0000, 0.0000, 0.5000)  6 Tb 3.35-3.43, 2 Sm 3.41
Sm (0.0000, 0.5000, 0.0000)  6 Tb 3.35-3.43, 2 Sm 3.41
Sm (0.0000, 0.5000, 0.5000)  6 Tb 3.35-3.41, 2 Ho 3.41
Sm (0.5000, 0.5000, 0.0000)  6 Tb 3.35-3.41, 2 Ho 3.41
Dy (0.5000, 0.0000, 0.0000)  6 Tb 3.29-3.39, 2 Dy 3.41
Dy (0.5000, 0.5000, 0.5000)  6 Tb 3.29-3.39, 2 Dy 3.41
Ho (0.0000, 0.0000, 0.0000)  6 Tb 3.29-3.40, 2 Sm 3.41
Ho (0.5000, 0.0000, 0.5000)  6 Tb 3.29-3.40, 2 Sm 3.41

Calculated values
SG   No. 74
Calculated formation energy   3.42 eV/f.u.
Total moment   3.524 μB per formula unit
Total DFT energy (no corrections)   -4.22 eV per atom

Record 3
VASP calculation (PBE) on NaHo2ThTe4 after structural relaxation.

a b c (Å): 7.6044 4.3372 7.7540
angles (deg): 90.00 108.44 90.00
With the nearest neighbours (Å) after each atom.
Positions (direct):
Na (0.0000, 0.0000, 0.0000)  6 Te 3.12-3.15
Ho (0.5000, 0.0000, 0.5000)  6 Te 3.09-3.12
Ho (0.5000, 0.5000, 0.0000)  6 Te 3.07
Th (0.0000, 0.5000, 0.5000)  6 Te 3.16-3.18
Te (0.2588, 0.0000, 0.7586)  3 Ho 3.07-3.12, 1 Na 3.12, 2 Th 3.18
Te (0.2588, 0.5000, 0.2511)  3 Ho 3.07-3.09, 2 Na 3.15, 1 Th 3.16
Te (0.7412, 0.0000, 0.2414)  3 Ho 3.07-3.12, 1 Na 3.12, 2 Th 3.18
Te (0.7412, 0.5000, 0.7489)  3 Ho 3.07-3.09, 2 Na 3.15, 1 Th 3.16

Calculated values
SG   No. 10
Total moment   0.000 μB per formula unit
Total DFT energy (no corrections)   -5.00 eV per atom

Record 4
VASP calculation (PBE) on Rb3U3GeS8 after structural relaxation.

a b c (Å): 9.0435 9.0435 9.0435
angles (deg): 53.28 53.28 53.28
With the nearest neighbours (Å) after each atom.
Positions (direct):
Rb (0.0000, 0.5000, 0.5000)  6 S 3.34-3.40
Rb (0.5000, 0.0000, 0.5000)  6 S 3.34-3.40
Rb (0.5000, 0.5000, 0.0000)  6 S 3.34-3.40
U (0.0000, 0.0000, 0.5000)  6 S 2.72-2.77
U (0.0000, 0.5000, 0.0000)  6 S 2.72-2.77
U (0.5000, 0.0000, 0.0000)  6 S 2.72-2.77
Ge (0.5000, 0.5000, 0.5000)  6 S 2.76
S (0.2236, 0.7296, 0.7296)  2 U 2.72, 1 Ge 2.76
S (0.2307, 0.2307, 0.2307)  3 U 2.77
S (0.2704, 0.2704, 0.7764)  2 U 2.72, 1 Ge 2.76
S (0.2704, 0.7764, 0.2704)  2 U 2.72, 1 Ge 2.76
S (0.7296, 0.2236, 0.7296)  2 U 2.72, 1 Ge 2.76
S (0.7296, 0.7296, 0.2236)  2 U 2.72, 1 Ge 2.76
S (0.7693, 0.7693, 0.7693)  3 U 2.77
S (0.7764, 0.2704, 0.2704)  2 U 2.72, 1 Ge 2.76

Calculated values
SG   No. 166
Total moment   7.000 μB per formula unit
Total DFT energy (no corrections)   -6.20 eV per atom

Record 5
VASP calculation (PBE) on TlHgTeSe after structural relaxation.

a b c (Å): 4.6090 4.6090 24.1758
angles (deg): 90.00 90.00 120.00
With the nearest neighbours (Å) after each atom.
Positions (direct):
Tl (0.0000, 0.0000, 0.0000)  1 Se 2.91, 3 Te 3.03
Tl (0.3333, 0.6667, 0.6667)  1 Se 2.91, 3 Te 3.03
Tl (0.6667, 0.3333, 0.3333)  1 Se 2.91, 3 Te 3.03
Hg (0.0000, 0.0000, 0.5133)  3 Se 2.78, 1 Te 2.90
Hg (0.3333, 0.6667, 0.1799)  3 Se 2.78, 1 Te 2.90
Hg (0.6667, 0.3333, 0.8466)  3 Se 2.78, 1 Te 2.90
Te (0.0000, 0.0000, 0.3931)  1 Hg 2.90, 3 Tl 3.03
Te (0.3333, 0.6667, 0.0598)  1 Hg 2.90, 3 Tl 3.03
Te (0.6667, 0.3333, 0.7265)  1 Hg 2.90, 3 Tl 3.03
Se (0.0000, 0.0000, 0.8796)  3 Hg 2.78, 1 Tl 2.91
Se (0.3333, 0.6667, 0.5462)  3 Hg 2.78, 1 Tl 2.91
Se (0.6667, 0.3333, 0.2129)  3 Hg 2.78, 1 Tl 2.91

Calculated values
SG   No. 160
Total moment   0.000 μB per formula unit
Total DFT energy (no corrections)   -2.43 eV per atom

Record 6
VASP calculation (PBE) on SnSe2N after structural relaxation.

a b c (Å): 3.6884 5.8298 9.0956
angles (deg): 93.40 101.67 90.01
With the nearest neighbours (Å) after each atom.
Positions (direct):
Sn (0.1873, 0.2295, 0.3754)  2 N 2.21
Sn (0.8127, 0.7705, 0.6246)  2 N 2.21
Se (0.1971, 0.7411, 0.3932)  4 Sn 2.76-2.98
Se (0.4817, 0.7910, 0.9639)  1 N 1.79
Se (0.5183, 0.2090, 0.0361)  1 N 1.79
Se (0.8029, 0.2589, 0.6068)  4 Sn 2.76-2.98
N (0.3813, 0.7737, 0.7623)  1 Se 1.79
N (0.6187, 0.2263, 0.2377)  1 Se 1.79

Calculated values
SG   No. 2
Total moment   0.000 μB per formula unit
Relative energy among the computed polymorphs   0.00 eV/f.u.
Total DFT energy (no corrections)   -4.62 eV per atom

Record 7
VASP calculation (PBE) on Na2SmHoTe4 after structural relaxation.

a b c (Å): 7.7178 4.4574 7.9995
angles (deg): 90.00 108.78 90.00
With the nearest neighbours (Å) after each atom.
Positions (direct):
Na (0.0000, 0.0000, 0.0000)  6 Te 3.29
Na (0.5000, 0.5000, 0.0000)  6 Te 3.25
Sm (0.0000, 0.5000, 0.5000)  6 Te 3.15
Ho (0.5000, 0.0000, 0.5000)  6 Te 3.10
Te (0.2503, 0.0000, 0.7351)  1 Ho 3.10, 2 Sm 3.15, 3 Na 3.25-3.29
Te (0.2609, 0.5000, 0.2677)  2 Ho 3.10, 1 Sm 3.15, 3 Na 3.25-3.29
Te (0.7391, 0.5000, 0.7323)  2 Ho 3.10, 1 Sm 3.15, 3 Na 3.25-3.29
Te (0.7497, 0.0000, 0.2649)  1 Ho 3.10, 2 Sm 3.15, 3 Na 3.25-3.29

Calculated values
SG   No. 10
Total moment   0.000 μB per formula unit
Total DFT energy (no corrections)   -4.38 eV per atom

Record 8
VASP calculation (PBE) on HoEr2Sc3Se6 after structural relaxation.

a b c (Å): 6.8627 6.8627 6.8680
angles (deg): 99.54 99.54 120.25
With the nearest neighbours (Å) after each atom.
Positions (direct):
Ho (0.0000, 0.0000, 0.0000)  6 Se 2.85-2.86
Er (0.3336, 0.6664, 0.0000)  6 Se 2.84-2.85
Er (0.6664, 0.3336, 0.0000)  6 Se 2.84-2.85
Sc (0.1652, 0.8348, 0.5000)  6 Se 2.75-2.76
Sc (0.5000, 0.5000, 0.5000)  6 Se 2.75-2.76
Sc (0.8348, 0.1652, 0.5000)  6 Se 2.75-2.76
Se (0.0874, 0.4223, 0.2626)  3 Sc 2.75-2.76, 2 Er 2.84-2.85, 1 Ho 2.86
Se (0.2473, 0.2473, 0.7382)  3 Sc 2.75, 2 Er 2.84, 1 Ho 2.85
Se (0.4223, 0.0874, 0.2626)  3 Sc 2.75-2.76, 2 Er 2.84-2.85, 1 Ho 2.86
Se (0.5777, 0.9126, 0.7374)  3 Sc 2.75-2.76, 2 Er 2.84-2.85, 1 Ho 2.86
Se (0.7527, 0.7527, 0.2618)  3 Sc 2.75, 2 Er 2.84, 1 Ho 2.85
Se (0.9126, 0.5777, 0.7374)  3 Sc 2.75-2.76, 2 Er 2.84-2.85, 1 Ho 2.86

Calculated values
SG   No. 12
Total moment   0.002 μB per formula unit
Total DFT energy (no corrections)   -6.11 eV per atom

Record 9
VASP calculation (PBE) on Sn3AsS2 after structural relaxation.

a b c (Å): 13.6702 13.0668 7.0937
angles (deg): 79.37 69.96 30.67
With the nearest neighbours (Å) after each atom.
Positions (direct):
Sn (0.0323, 0.5491, 0.2157)  4 S 2.84-3.04, 2 As 2.86-2.89
Sn (0.1272, 0.6228, 0.6228)  4 S 2.88-2.93, 2 As 2.91
Sn (0.2157, 0.7029, 0.0323)  4 S 2.84-3.04, 2 As 2.86-2.89
Sn (0.2971, 0.7843, 0.4509)  4 S 2.84-3.04, 2 As 2.86-2.89
Sn (0.3772, 0.8728, 0.8728)  4 S 2.88-2.93, 2 As 2.91
Sn (0.4509, 0.9677, 0.2971)  4 S 2.84-3.04, 2 As 2.86-2.89
Sn (0.5491, 0.0323, 0.7029)  4 S 2.84-3.04, 2 As 2.86-2.89
Sn (0.6228, 0.1272, 0.1272)  4 S 2.88-2.93, 2 As 2.91
Sn (0.7029, 0.2157, 0.5491)  4 S 2.84-3.04, 2 As 2.86-2.89
Sn (0.7843, 0.2971, 0.9677)  4 S 2.84-3.04, 2 As 2.86-2.89
Sn (0.8728, 0.3772, 0.3772)  4 S 2.88-2.93, 2 As 2.91
Sn (0.9677, 0.4509, 0.7843)  4 S 2.84-3.04, 2 As 2.86-2.89
As (0.2916, 0.2916, 0.4584)  6 Sn 2.86-2.91
As (0.4584, 0.4584, 0.2916)  6 Sn 2.86-2.91
As (0.5416, 0.5416, 0.7084)  6 Sn 2.86-2.91
As (0.7084, 0.7084, 0.5416)  6 Sn 2.86-2.91
S (0.0419, 0.0419, 0.2081)  6 Sn 2.87-2.95
S (0.1285, 0.1285, 0.6215)  6 Sn 2.84-3.04
S (0.2081, 0.2081, 0.0419)  6 Sn 2.87-2.95
S (0.3785, 0.3785, 0.8715)  6 Sn 2.84-3.04
S (0.6215, 0.6215, 0.1285)  6 Sn 2.84-3.04
S (0.7919, 0.7919, 0.9581)  6 Sn 2.87-2.95
S (0.8715, 0.8715, 0.3785)  6 Sn 2.84-3.04
S (0.9581, 0.9581, 0.7919)  6 Sn 2.87-2.95

Calculated values
SG   No. 70
Total moment   0.000 μB per formula unit
Relative energy among the computed polymorphs   0.12 eV/f.u.
Total DFT energy (no corrections)   -4.40 eV per atom

Record 10
VASP calculation (PBE) on ScMn2Cr after structural relaxation.

a b c (Å): 6.0372 6.0372 6.0372
angles (deg): 90.00 90.00 90.00
With the nearest neighbours (Å) after each atom.
Positions (direct):
Sc (0.0000, 0.0000, 0.0000)  4 Cr 2.61, 4 Mn 2.61
Sc (0.0000, 0.5000, 0.5000)  4 Mn 2.61, 4 Cr 2.61
Sc (0.5000, 0.0000, 0.5000)  4 Mn 2.61, 4 Cr 2.61
Sc (0.5000, 0.5000, 0.0000)  4 Mn 2.61, 4 Cr 2.61
Mn (0.0000, 0.0000, 0.5000)  4 Cr 2.61, 4 Mn 2.61
Mn (0.0000, 0.5000, 0.0000)  4 Cr 2.61, 4 Mn 2.61
Mn (0.2500, 0.2500, 0.7500)  4 Mn 2.61, 4 Sc 2.61
Mn (0.2500, 0.7500, 0.2500)  4 Mn 2.61, 4 Sc 2.61
Mn (0.5000, 0.0000, 0.0000)  4 Cr 2.61, 4 Mn 2.61
Mn (0.5000, 0.5000, 0.5000)  4 Cr 2.61, 4 Mn 2.61
Mn (0.7500, 0.2500, 0.2500)  4 Mn 2.61, 4 Sc 2.61
Mn (0.7500, 0.7500, 0.7500)  4 Sc 2.61, 4 Mn 2.61
Cr (0.2500, 0.2500, 0.2500)  4 Mn 2.61, 4 Sc 2.61
Cr (0.2500, 0.7500, 0.7500)  4 Mn 2.61, 4 Sc 2.61
Cr (0.7500, 0.2500, 0.7500)  4 Mn 2.61, 4 Sc 2.61
Cr (0.7500, 0.7500, 0.2500)  4 Mn 2.61, 4 Sc 2.61

Calculated values
SG   No. 216
Calculated formation energy   0.79 eV/f.u.
Total moment   0.865 μB per formula unit
Relative energy among the computed polymorphs   0.55 eV/f.u.
Total DFT energy (no corrections)   -8.38 eV per atom